(1)
A plane-wave DFT calculation with PBE with a Hubbard U was carried out for a relaxed structure of LaV3F.

Output
E in eV/f.u.: -26.98
Magnetization in μB/cell: 9.20
E above lowest polymorph in eV per atom: 0.000

Lattice parameters (Å, degrees): 4.746 4.746 4.746 90.00 90.00 90.00
Sites, in units of the cell vectors:
V  0.000  0.500  0.000
V  0.000  0.000  0.500
V  0.500  0.000  0.000
La  0.500  0.500  0.500
F  0.000  0.000  0.000

(2)
A plane-wave DFT calculation with PBE with a Hubbard U was carried out for a relaxed structure of LaVF5.

Output
E in eV/f.u.: -46.20
Magnetization in μB/cell: 6.00

Lattice parameters (Å, degrees): 5.912 5.912 8.096 69.94 69.94 71.75
Sites, in units of the cell vectors:
V  0.000  0.000  0.500
V  0.000  0.000  0.000
F  0.737  0.783  0.623
F  0.783  0.737  0.123
F  0.263  0.217  0.377
F  0.904  0.096  0.250
F  0.299  0.684  0.468
F  0.316  0.701  0.032
F  0.701  0.316  0.532
F  0.684  0.299  0.968
F  0.096  0.904  0.750
F  0.217  0.263  0.877
La  0.447  0.553  0.750
La  0.553  0.447  0.250

(3)
A plane-wave DFT calculation with PBE with a Hubbard U was carried out for a relaxed structure of La3VF.

Output
E in eV/f.u.: -27.04
Magnetization in μB/cell: 3.17
E above lowest polymorph in eV per atom: 0.000

Lattice parameters (Å, degrees): 5.150 5.150 5.150 90.00 90.00 90.00
Sites, in units of the cell vectors:
La  0.000  0.500  0.000
La  0.500  0.000  0.000
La  0.000  0.000  0.500
V  0.500  0.500  0.500
F  0.000  0.000  0.000

(4)
A plane-wave DFT calculation with PBE with a Hubbard U was carried out for a relaxed structure of LaY2VF.

Output
E in eV/f.u.: -26.09
Magnetization in μB/cell: 4.42

Lattice parameters (Å, degrees): 6.261 4.343 6.261 90.00 90.00 90.00
Sites, in units of the cell vectors:
Y  0.500  0.000  0.000
Y  0.000  0.000  0.500
V  0.500  0.500  0.500
La  0.000  0.000  0.000
F  0.000  0.500  0.000

(5)
A plane-wave DFT calculation with PBE with a Hubbard U was carried out for a relaxed structure of LaV2ZnF.

Output
E in eV/f.u.: -23.28
Magnetization in μB/cell: 6.26

Lattice parameters (Å, degrees): 4.541 5.011 4.541 90.00 90.00 90.00
Sites, in units of the cell vectors:
Zn  0.500  0.500  0.500
V  0.500  0.000  0.000
V  0.000  0.000  0.500
F  0.000  0.000  0.000
La  0.000  0.500  0.000

(6)
A plane-wave DFT calculation with PBE with a Hubbard U was carried out for a relaxed structure of La2WF.

Output
E in eV/f.u.: -21.42
Magnetization in μB/cell: 6.02
E above lowest polymorph in eV per atom: 0.000

Lattice parameters (Å, degrees): 7.549 7.549 6.597 55.10 55.10 90.00
Sites, in units of the cell vectors:
W  0.750  0.250  0.500
W  0.000  0.000  0.000
F  0.250  0.750  0.500
F  0.500  0.500  0.000
La  0.544  0.125  0.250
La  0.375  0.456  0.750
La  0.875  0.794  0.750
La  0.206  0.625  0.250